BaNa2Pd: relaxed, PBE-GGA.

a = 3.783 Å, b = 3.783 Å, c = 34.359 Å
α = 90.00°, β = 90.00°, γ = 120.00°
Sites, in units of the cell vectors:
Ba1 0.000 0.000 0.000
Ba2 0.333 0.667 0.667
Ba3 0.667 0.333 0.333
Na1 0.000 0.000 0.112
Na2 0.000 0.000 0.888
Na3 0.333 0.667 0.555
Na4 0.333 0.667 0.779
Na5 0.667 0.333 0.221
Na6 0.667 0.333 0.445
Pd1 0.000 0.000 0.500
Pd2 0.333 0.667 0.167
Pd3 0.667 0.333 0.833

Values from the calculation:
DOS at the Fermi energy: 10.62 states/eV per cell
crystal system: trigonal
density: 3389 kg/m³
distance to the lowest polymorph of the same formula: 454 meV/atom
total magnetic moment: 0.00 μB/cell
final energy: -2.165 eV per atom
calculated formation energy: 0.273 eV per atom